VASP calculation (PBE) on a relaxed structure of CsCa2Sb.

Lattice parameters (Å, degrees): 10.3117 10.3117 7.7143 90.00 90.00 90.00
Last column: nearest neighbours and their distance in Å.
Space group I-42d (No. 122)
Symmetry-distinct sites (fractional):
Cs 0.0000 0.0000 0.0000 x4  2 Sb 3.86, 4 Ca 4.15
Ca 0.1438 0.2500 0.6250 x8  2 Sb 3.13
Sb 0.0000 0.0000 0.5000 x4  4 Ca 3.13

- uncorrected energy (eV per atom) = -2.50
- total magnetization (μB per cell) = 0.00

---

VASP calculation (PBE) on a relaxed structure of CsCaSb.

Lattice parameters (Å, degrees): 5.3187 5.3187 6.0065 90.00 90.00 120.00
Last column: nearest neighbours and their distance in Å.
Space group P-6m2 (No. 187)
Symmetry-distinct sites (fractional):
Cs 0.0000 0.0000 0.0000 x1  6 Sb 4.30, 6 Ca 4.30
Ca 0.3333 0.6667 0.5000 x1  3 Sb 3.07
Sb 0.6667 0.3333 0.5000 x1  3 Ca 3.07

- uncorrected energy (eV per atom) = -2.92
- total magnetization (μB per cell) = 0.00

---

VASP calculation (PBE) on a relaxed structure of Cs2CaSb.

Lattice parameters (Å, degrees): 9.1725 9.1725 9.1725 90.00 90.00 90.00
Last column: nearest neighbours and their distance in Å.
Space group Fm-3m (No. 225)
Symmetry-distinct sites (fractional):
Cs 0.2500 0.2500 0.2500 x8  4 Sb 3.97, 4 Ca 3.97
Ca 0.0000 0.0000 0.0000 x4  8 Cs 3.97
Sb 0.0000 0.0000 0.5000 x4  8 Cs 3.97

- uncorrected energy (eV per atom) = -1.95
- total magnetization (μB per cell) = 0.00

---

VASP calculation (PBE) on a relaxed structure of CsCaSb3.

Lattice parameters (Å, degrees): 6.0690 6.0690 6.0690 90.00 90.00 90.00
Last column: nearest neighbours and their distance in Å.
Space group Pm-3m (No. 221)
Symmetry-distinct sites (fractional):
Cs 0.0000 0.0000 0.0000 x1  6 Sb 3.03
Ca 0.5000 0.5000 0.5000 x1  12 Sb 4.29
Sb 0.0000 0.0000 0.5000 x3  2 Cs 3.03

- uncorrected energy (eV per atom) = -2.11
- total magnetization (μB per cell) = 0.00

---

VASP calculation (PBE) on a relaxed structure of CsCaSb.

Lattice parameters (Å, degrees): 4.5697 7.7027 7.9097 89.91 90.00 72.78
Last column: nearest neighbours and their distance in Å.
Space group P-1 (No. 2)
Symmetry-distinct sites (fractional):
Cs 0.2173 0.0678 0.2498 x2  3 Sb 3.84-4.27
Ca 0.5000 0.5000 0.0000 x1  4 Sb 3.21
Ca 0.5000 0.5000 0.5000 x1  4 Sb 3.21
Sb 0.0732 0.3524 0.7502 x2  4 Ca 3.21

- uncorrected energy (eV per atom) = -2.96
- total magnetization (μB per cell) = 0.00

---

VASP calculation (PBE) on a relaxed structure of CsCa3Sb.

Lattice parameters (Å, degrees): 5.7752 5.7752 5.7752 90.00 90.00 90.00
Last column: nearest neighbours and their distance in Å.
Space group Pm-3m (No. 221)
Symmetry-distinct sites (fractional):
Cs 0.0000 0.0000 0.0000 x1  6 Ca 2.89
Ca 0.0000 0.0000 0.5000 x3  2 Cs 2.89
Sb 0.5000 0.5000 0.5000 x1  12 Ca 4.08

- uncorrected energy (eV per atom) = -1.22
- total magnetization (μB per cell) = 1.19

---

VASP calculation (PBE) on a relaxed structure of Cs2Ca2Sb.

Lattice parameters (Å, degrees): 8.4490 8.4490 7.3281 90.00 90.00 90.00
Last column: nearest neighbours and their distance in Å.
Space group P4/mbm (No. 127)
Symmetry-distinct sites (fractional):
Cs 0.1894 0.3106 0.0000 x4  2 Ca 4.07, 5 Cs 4.35-4.52
Ca 0.1627 0.6627 0.5000 x4  2 Sb 3.16
Sb 0.0000 0.0000 0.5000 x2  4 Ca 3.16

- uncorrected energy (eV per atom) = -2.18
- total magnetization (μB per cell) = 0.00

---

VASP calculation (PBE) on a relaxed structure of CsCaSb3.

Lattice parameters (Å, degrees): 5.9128 5.9128 5.9128 90.00 90.00 90.00
Last column: nearest neighbours and their distance in Å.
Space group Pm-3m (No. 221)
Symmetry-distinct sites (fractional):
Cs 0.0000 0.0000 0.0000 x1  12 Sb 4.18
Ca 0.5000 0.5000 0.5000 x1  6 Sb 2.96
Sb 0.0000 0.5000 0.5000 x3  2 Ca 2.96

- uncorrected energy (eV per atom) = -3.01
- total magnetization (μB per cell) = 0.00

---

VASP calculation (PBE) on a relaxed structure of CsCaSb.

Lattice parameters (Å, degrees): 14.8145 4.4949 8.3823 90.00 104.42 90.00
Last column: nearest neighbours and their distance in Å.
Space group C2/m (No. 12)
Symmetry-distinct sites (fractional):
Cs 0.1363 0.0000 0.0712 x4  4 Sb 3.91-3.99, 1 Cs 3.92, 1 Ca 3.94
Ca 0.1184 0.0000 0.5325 x4  4 Sb 3.23-3.28, 1 Ca 3.41
Sb 0.0140 0.5000 0.6978 x4  4 Ca 3.23-3.28, 1 Sb 3.24

- uncorrected energy (eV per atom) = -2.77
- total magnetization (μB per cell) = 1.06

---

VASP calculation (PBE) on a relaxed structure of Cs2CaSbSe4.

Lattice parameters (Å, degrees): 6.8975 15.3197 26.5103 90.00 90.00 90.00
Last column: nearest neighbours and their distance in Å.
Space group Fddd (No. 70, origin choice 2)
Symmetry-distinct sites (fractional):
Cs 0.1250 0.1250 0.3068 x16  8 Se 3.90-4.24
Ca 0.1250 0.1250 0.1250 x8  4 Se 2.82
Sb 0.1250 0.1250 0.6250 x8  4 Se 2.65
Se 0.1057 0.2702 0.8225 x32  1 Sb 2.65, 1 Ca 2.82

- uncorrected energy (eV per atom) = -3.67
- total magnetization (μB per cell) = 4.46

---

VASP calculation (PBE) on a relaxed structure of CsCaSb2Te.

Lattice parameters (Å, degrees): 5.9416 5.9416 5.9896 90.00 90.00 90.00
Last column: nearest neighbours and their distance in Å.
Space group P4/mmm (No. 123)
Symmetry-distinct sites (fractional):
Cs 0.0000 0.0000 0.0000 x1  4 Te 4.20, 8 Sb 4.22
Ca 0.5000 0.5000 0.5000 x1  4 Sb 2.97, 2 Te 2.99
Sb 0.0000 0.5000 0.5000 x2  2 Ca 2.97
Te 0.5000 0.5000 0.0000 x1  2 Ca 2.99

- uncorrected energy (eV per atom) = -3.01
- total magnetization (μB per cell) = 0.00

---

VASP calculation (PBE) on a relaxed structure of CsCaSbTe2.

Lattice parameters (Å, degrees): 6.0250 6.0250 5.9127 90.00 90.00 90.00
Last column: nearest neighbours and their distance in Å.
Space group P4/mmm (No. 123)
Symmetry-distinct sites (fractional):
Cs 0.0000 0.0000 0.0000 x1  8 Te 4.22, 4 Sb 4.26
Ca 0.5000 0.5000 0.5000 x1  2 Sb 2.96, 4 Te 3.01
Sb 0.5000 0.5000 0.0000 x1  2 Ca 2.96
Te 0.0000 0.5000 0.5000 x2  2 Ca 3.01

- uncorrected energy (eV per atom) = -3.04
- total magnetization (μB per cell) = 0.00

---

VASP calculation (PBE) on a relaxed structure of CsCaSbTe2.

Lattice parameters (Å, degrees): 6.2909 6.2909 6.1024 90.00 90.00 90.00
Last column: nearest neighbours and their distance in Å.
Space group P4/mmm (No. 123)
Symmetry-distinct sites (fractional):
Cs 0.0000 0.0000 0.0000 x1  2 Sb 3.05, 4 Te 3.15
Ca 0.5000 0.5000 0.5000 x1  8 Te 4.38, 4 Sb 4.45
Sb 0.0000 0.0000 0.5000 x1  2 Cs 3.05
Te 0.0000 0.5000 0.0000 x2  2 Cs 3.15

- uncorrected energy (eV per atom) = -2.07
- total magnetization (μB per cell) = 0.00

---

VASP calculation (PBE) on a relaxed structure of CsCaSb2Te.

Lattice parameters (Å, degrees): 6.0995 6.0995 6.3334 90.00 90.00 90.00
Last column: nearest neighbours and their distance in Å.
Space group P4/mmm (No. 123)
Symmetry-distinct sites (fractional):
Cs 0.0000 0.0000 0.0000 x1  4 Sb 3.05, 2 Te 3.17
Ca 0.5000 0.5000 0.5000 x1  4 Te 4.31, 8 Sb 4.40
Sb 0.0000 0.5000 0.0000 x2  2 Cs 3.05
Te 0.0000 0.0000 0.5000 x1  2 Cs 3.17

- uncorrected energy (eV per atom) = -2.08
- total magnetization (μB per cell) = 0.00

---

VASP calculation (PBE) on a relaxed structure of CsCaTl2Sb2.

Lattice parameters (Å, degrees): 5.4314 5.4314 8.9929 90.00 90.00 120.00
Last column: nearest neighbours and their distance in Å.
Space group P-3m1 (No. 164)
Symmetry-distinct sites (fractional):
Cs 0.0000 0.0000 0.0000 x1  6 Sb 4.12, 6 Tl 4.37, 2 Ca 4.50
Ca 0.0000 0.0000 0.5000 x1  6 Tl 3.45, 6 Sb 3.63
Tl 0.3333 0.6667 0.6609 x2  4 Sb 3.16-3.27, 3 Ca 3.45
Sb 0.3333 0.6667 0.2970 x2  4 Tl 3.16-3.27

- uncorrected energy (eV per atom) = -3.02
- total magnetization (μB per cell) = 0.00

---

VASP calculation (PBE) on a relaxed structure of CsCa2Sc.

Lattice parameters (Å, degrees): 5.2119 5.2119 26.0323 90.00 90.00 90.00
Last column: nearest neighbours and their distance in Å.
Space group I-42d (No. 122)
Symmetry-distinct sites (fractional):
Cs 0.0000 0.0000 0.0000 x4  4 Sc 3.69, 4 Ca 3.77
Ca 0.2326 0.2500 0.6250 x8  4 Ca 3.56-3.82, 2 Sc 3.71, 2 Cs 3.77
Sc 0.0000 0.0000 0.5000 x4  4 Cs 3.69, 4 Ca 3.71

- E_form (meV/atom) = 760
- total magnetization (μB per cell) = 0.00

---

VASP calculation (PBE) on a relaxed structure of CsCa3Sc.

Lattice parameters (Å, degrees): 5.9063 5.9063 5.9063 90.00 90.00 90.00
Last column: nearest neighbours and their distance in Å.
Space group Pm-3m (No. 221)
Symmetry-distinct sites (fractional):
Cs 0.0000 0.0000 0.0000 x1  6 Ca 2.95
Ca 0.0000 0.0000 0.5000 x3  2 Cs 2.95
Sc 0.5000 0.5000 0.5000 x1  12 Ca 4.18

- E_form (meV/atom) = 1160
- total magnetization (μB per cell) = 1.79

---

VASP calculation (PBE) on a relaxed structure of CsCa2Se2.

Lattice parameters (Å, degrees): 5.5676 5.5676 12.2746 90.00 90.00 90.00
Last column: nearest neighbours and their distance in Å.
Space group I4/mmm (No. 139)
Symmetry-distinct sites (fractional):
Cs 0.0000 0.0000 0.0000 x2  2 Ca 3.90, 8 Se 4.14
Ca 0.0000 0.0000 0.3178 x4  4 Se 2.91
Se 0.0000 0.5000 0.2500 x4  4 Ca 2.91

- uncorrected energy (eV per atom) = -3.75
- total magnetization (μB per cell) = 1.96

---

VASP calculation (PBE) on a relaxed structure of CsCa2Se2.

Lattice parameters (Å, degrees): 5.0798 5.0798 15.4535 90.00 90.00 90.00
Last column: nearest neighbours and their distance in Å.
Space group I4/mmm (No. 139)
Symmetry-distinct sites (fractional):
Cs 0.0000 0.0000 0.0000 x2  8 Se 4.34, 8 Ca 4.62
Ca 0.0000 0.5000 0.2500 x4  4 Se 2.92
Se 0.0000 0.0000 0.3426 x4  4 Ca 2.92

- uncorrected energy (eV per atom) = -3.70
- total magnetization (μB per cell) = 0.00

---

VASP calculation (PBE) on a relaxed structure of CsCa2Se2.

Lattice parameters (Å, degrees): 8.7775 8.7775 3.9299 90.00 90.00 90.00
Last column: nearest neighbours and their distance in Å.
Space group P4/mbm (No. 127)
Symmetry-distinct sites (fractional):
Cs 0.0000 0.0000 0.0000 x2  4 Se 3.37
Ca 0.1429 0.3571 0.5000 x4  6 Se 3.20-3.29, 1 Ca 3.55
Se 0.1442 0.6442 0.0000 x4  6 Ca 3.20-3.29, 2 Cs 3.37

- uncorrected energy (eV per atom) = -3.50
- total magnetization (μB per cell) = 0.00

---

VASP calculation (PBE) on a relaxed structure of Cs2CaSnSe4.

Lattice parameters (Å, degrees): 6.7488 15.1624 26.6990 90.00 90.00 90.00
Last column: nearest neighbours and their distance in Å.
Space group Fddd (No. 70, origin choice 2)
Symmetry-distinct sites (fractional):
Cs 0.1250 0.1250 0.3071 x16  8 Se 3.91-4.24
Ca 0.1250 0.1250 0.1250 x8  4 Se 2.82
Sn 0.1250 0.1250 0.6250 x8  4 Se 2.57
Se 0.0961 0.2730 0.8221 x32  1 Sn 2.57, 1 Ca 2.82

- uncorrected energy (eV per atom) = -3.81
- total magnetization (μB per cell) = 0.00

---

VASP calculation (PBE) on a relaxed structure of Cs2Ca2TaSe6.

Lattice parameters (Å, degrees): 7.1886 12.2423 8.8932 90.00 106.62 90.00
Last column: nearest neighbours and their distance in Å.
Space group C2/m (No. 12)
Symmetry-distinct sites (fractional):
Cs 0.0000 0.1747 0.0000 x4  6 Se 3.57-3.69
Ca 0.0000 0.3340 0.5000 x4  6 Se 2.94-2.96
Ta 0.0000 0.0000 0.5000 x2  6 Se 2.61-2.62
Se 0.2143 0.1481 0.6808 x8  1 Ta 2.61
Se 0.2326 0.0000 0.3201 x4  1 Ta 2.62, 2 Ca 2.94

- uncorrected energy (eV per atom) = -4.74
- total magnetization (μB per cell) = 0.00

---

VASP calculation (PBE) on a relaxed structure of CsCaTaSe4.

Lattice parameters (Å, degrees): 7.0100 7.3680 9.9373 90.00 107.93 90.00
Last column: nearest neighbours and their distance in Å.
Space group P2_1/m (No. 11)
Symmetry-distinct sites (fractional):
Cs 0.2408 0.2500 0.4377 x2  8 Se 3.58-3.94
Ca 0.2776 0.2500 0.9549 x2  6 Se 3.01-3.13
Ta 0.2780 0.7500 0.1642 x2  4 Se 2.38-2.43
Se 0.0678 0.7500 0.9245 x2  1 Ta 2.38
Se 0.0748 0.7500 0.3210 x2  1 Ta 2.41
Se 0.4945 0.5064 0.7968 x4  1 Ta 2.43

- uncorrected energy (eV per atom) = -5.36
- total magnetization (μB per cell) = 0.00

---

VASP calculation (PBE) on a relaxed structure of Cs2CaTaSe4.

Lattice parameters (Å, degrees): 6.6396 15.0677 26.6913 90.00 90.00 90.00
Last column: nearest neighbours and their distance in Å.
Space group Fddd (No. 70, origin choice 2)
Symmetry-distinct sites (fractional):
Cs 0.1250 0.1250 0.3037 x16  6 Se 3.83-4.15
Ca 0.1250 0.1250 0.1250 x8  4 Se 2.83
Ta 0.1250 0.1250 0.6250 x8  4 Se 2.47
Se 0.0819 0.2763 0.8218 x32  1 Ta 2.47

- uncorrected energy (eV per atom) = -4.81
- total magnetization (μB per cell) = 6.83

---

VASP calculation (PBE) on a relaxed structure of Cs3CaTb2Se6.

Lattice parameters (Å, degrees): 7.4838 12.9623 8.7379 90.00 106.58 90.00
Last column: nearest neighbours and their distance in Å.
Space group C2/m (No. 12)
Symmetry-distinct sites (fractional):
Cs 0.0000 0.0000 0.0000 x2  6 Se 3.57-3.64
Cs 0.0000 0.3362 0.0000 x4  6 Se 3.59-3.64
Ca 0.0000 0.5000 0.5000 x2  6 Se 3.00-3.01
Tb 0.0000 0.1669 0.5000 x4  6 Se 2.91-2.92
Se 0.2188 0.0000 0.6860 x4  2 Tb 2.91, 1 Ca 3.00
Se 0.2342 0.3283 0.6874 x8  2 Tb 2.91-2.92, 1 Ca 3.01

- uncorrected energy (eV per atom) = -4.48
- total magnetization (μB per cell) = 0.00